one | A relaxed structure of Pm2SbRh, computed with PBE-GGA.

The structure in POSCAR format:
```
Pm2SbRh
1.0
-3.3030 -1.2044 -0.8124
1.2278 -1.2356 -3.1601
1.6691 -6.8114 3.3118
Rh Sb Pm
1 1 2
direct
0.5000 0.5000 0.0000
0.5000 0.5000 0.5000
0.0000 0.0000 0.7795
0.0000 0.0000 0.2205
```

=====

two | A relaxed structure of Pm2SbRh, computed with PBE-GGA.

The structure in POSCAR format:
```
Pm2SbRh
1.0
-3.6060 2.0723 -1.0466
-3.0539 0.6127 2.9481
0.7850 7.0499 2.4676
Sb Pm Rh
1 2 1
direct
0.5000 0.5000 0.5000
0.7408 0.7408 0.7776
0.2592 0.2592 0.2224
0.0000 0.0000 0.0000
```

=====

three | A relaxed structure of Pm2SbRh, computed with PBE-GGA.

The structure in POSCAR format:
```
Pm2SbRh
1.0
5.2354 0.0000 0.0000
2.6177 4.5340 0.0000
2.6177 1.5113 4.2747
Sb Pm Rh
1 2 1
direct
0.5000 0.5000 0.5000
0.7500 0.7500 0.7500
0.2500 0.2500 0.2500
0.0000 0.0000 0.0000
```

=====

Most stable: one. Least stable: three.

=====

one | A relaxed structure of Pm2ScRh2, computed with PBE-GGA.

The structure in POSCAR format:
```
Pm2ScRh2
1.0
-1.1874 3.2182 -2.0601
-3.4217 -2.0335 -5.0903
-8.2028 2.4776 4.7124
Pm Rh Sc
4 4 2
direct
0.1588 0.3723 0.3101
0.5715 0.7621 0.0949
0.4285 0.2379 0.9051
0.8412 0.6277 0.6899
0.8677 0.1372 0.1274
0.1323 0.8628 0.8726
0.5624 0.3035 0.5718
0.4376 0.6965 0.4282
0.8373 0.9515 0.3739
0.1627 0.0485 0.6261
```

=====

two | A relaxed structure of Pm2ScRh2, computed with PBE-GGA.

The structure in POSCAR format:
```
Pm2ScRh2
1.0
-0.3561 5.5551 2.2671
-7.3459 -1.1933 1.7701
5.3072 -4.0419 2.7702
Pm Sc Rh
4 2 4
direct
0.8368 0.6985 0.6737
0.3368 0.9751 0.6737
0.6632 0.0249 0.3263
0.1632 0.3015 0.3263
0.2500 0.5000 0.0000
0.7500 0.5000 0.0000
0.0888 0.8464 0.1777
0.4112 0.6687 0.8223
0.5888 0.3313 0.1777
0.9112 0.1536 0.8223
```

=====

Most stable: one. Least stable: two.

=====

one | A relaxed structure of Pm2ScRh, computed with PBE-GGA.

The structure in POSCAR format:
```
Pm2ScRh
1.0
-2.3095 -2.8558 -3.1849
0.4986 -3.1730 -1.2118
-7.6547 -2.8823 4.4148
Rh Pm Sc
1 2 1
direct
0.7799 0.0970 0.0007
0.2320 0.6449 0.5484
0.0634 0.3134 0.2172
0.4354 0.9418 0.8445
```

=====

two | A relaxed structure of Pm2ScRh, computed with PBE-GGA.

The structure in POSCAR format:
```
Pm2ScRh
1.0
3.6079 0.0000 0.0000
0.0000 3.6079 0.0000
0.0000 0.0000 7.9857
Sc Rh Pm
1 1 2
direct
0.5000 0.5000 0.5000
0.5000 0.5000 0.0000
0.0000 0.0000 0.2070
0.0000 0.0000 0.7930
```

=====

Most stable: one. Least stable: two.